(one)
# LiTePd2Pt

An optimized crystal structure of LiTePd2Pt (PBE-GGA, Alexandria via LeMat-Bulk).

Values from the calculation:
Total magnetic moment (μB/f.u.): 0.0
Theoretical density (g cm⁻³): 6.99

Cell: 5.057 5.057 5.040 Å, 90.00 90.00 90.00°
Space group P4/mmm (No. 123)
Inequivalent atoms, fractional coordinates:
Li 0.000 0.000 0.000 x1
Te 0.500 0.500 0.000 x1
Pd 0.000 0.500 0.500 x2
Pt 0.500 0.500 0.500 x1

(two)
# LiTePd2Pt

An optimized crystal structure of LiTePd2Pt (PBE-GGA, Alexandria via LeMat-Bulk).

Values from the calculation:
Total magnetic moment (μB/f.u.): 0.0
Theoretical density (g cm⁻³): 7.27

Cell: 4.987 4.987 4.980 Å, 90.00 90.00 90.00°
Space group P4/mmm (No. 123)
Inequivalent atoms, fractional coordinates:
Li 0.000 0.000 0.000 x1
Te 0.500 0.500 0.500 x1
Pd 0.000 0.500 0.500 x2
Pt 0.500 0.500 0.000 x1

Ranked by calculated energy, most stable first: (two), (one).

(one)
# LiThPdPt

An optimized crystal structure of LiThPdPt (PBE-GGA, Alexandria via LeMat-Bulk).

Values from the calculation:
Total magnetic moment (μB/f.u.): 0.0
Theoretical density (g cm⁻³): 11.13

Cell: 6.858 6.858 6.858 Å, 90.00 90.00 90.00°
Space group F-43m (No. 216)
Inequivalent atoms, fractional coordinates:
Li 0.000 0.000 0.000 x4
Th 0.000 0.000 0.500 x4
Pd 0.250 0.250 0.750 x4
Pt 0.250 0.250 0.250 x4

(two)
# LiThPdPt

An optimized crystal structure of LiThPdPt (PBE-GGA, Alexandria via LeMat-Bulk).

Values from the calculation:
Total magnetic moment (μB/f.u.): 0.0
Theoretical density (g cm⁻³): 11.38

Cell: 7.529 4.346 5.438 Å, 90.00 117.59 90.00°
Space group Cm (No. 8)
Inequivalent atoms, fractional coordinates:
Li 0.000 0.000 0.000 x2
Th 0.496 0.000 0.489 x2
Pd 0.280 0.000 0.840 x2
Pt 0.218 0.500 0.152 x2

Ranked by calculated energy, most stable first: (two), (one).

(one)
# LiPuPd

An optimized crystal structure of LiPuPd (PBE-GGA, Alexandria via LeMat-Bulk).

Values from the calculation:
Total magnetic moment (μB/f.u.): 0.0
Theoretical density (g cm⁻³): 11.61

Cell: 3.063 3.537 9.454 Å, 90.00 93.60 90.00°
Space group P2_1/m (No. 11)
Inequivalent atoms, fractional coordinates:
Li 0.235 0.250 0.422 x2
Pu 0.151 0.250 0.080 x2
Pd 0.296 0.250 0.720 x2

(two)
# LiPuPd

An optimized crystal structure of LiPuPd (PBE-GGA, Alexandria via LeMat-Bulk).

Values from the calculation:
Total magnetic moment (μB/f.u.): 0.0
Theoretical density (g cm⁻³): 11.30

Cell: 3.797 3.195 8.760 Å, 90.00 98.85 90.00°
Space group P2_1/m (No. 11)
Inequivalent atoms, fractional coordinates:
Li 0.244 0.250 0.465 x2
Pu 0.144 0.750 0.083 x2
Pd 0.324 0.750 0.733 x2

(three)
# LiPuPd

An optimized crystal structure of LiPuPd (PBE-GGA, Alexandria via LeMat-Bulk).

Values from the calculation:
Total magnetic moment (μB/f.u.): 6.1
Theoretical density (g cm⁻³): 10.26

Cell: 3.317 3.317 10.519 Å, 90.00 90.00 90.00°
Space group I4mm (No. 107)
Inequivalent atoms, fractional coordinates:
Li 0.000 0.000 0.000 x2
Pu 0.000 0.000 0.290 x2
Pd 0.000 0.000 0.608 x2

Ranked by calculated energy, most stable first: (one), (three), (two).

(one)
# LiPuPd4

An optimized crystal structure of LiPuPd4 (PBE-GGA, Alexandria via LeMat-Bulk).

Values from the calculation:
Total magnetic moment (μB/f.u.): 4.9
Theoretical density (g cm⁻³): 11.19

Cell: 4.071 16.110 6.126 Å, 90.00 90.00 90.00°
Space group Cmcm (No. 63)
Inequivalent atoms, fractional coordinates:
Li 0.000 0.220 0.250 x4
Pu 0.000 0.104 0.750 x4
Pd 0.000 0.074 0.250 x4
Pd 0.000 0.324 0.530 x8
Pd 0.000 0.500 0.000 x4

(two)
# LiPuPd4

An optimized crystal structure of LiPuPd4 (PBE-GGA, Alexandria via LeMat-Bulk).

Values from the calculation:
Total magnetic moment (μB/f.u.): 5.3
Theoretical density (g cm⁻³): 10.84

Cell: 2.847 4.547 8.004 Å, 90.00 90.00 90.00°
Space group Pmmm (No. 47)
Inequivalent atoms, fractional coordinates:
Li 0.000 0.000 0.000 x1
Pu 0.500 0.500 0.500 x1
Pd 0.000 0.500 0.175 x2
Pd 0.500 0.000 0.287 x2

(three)
# LiPuPd4

An optimized crystal structure of LiPuPd4 (PBE-GGA, Alexandria via LeMat-Bulk).

Values from the calculation:
Total magnetic moment (μB/f.u.): 5.5
Theoretical density (g cm⁻³): 10.33

Cell: 7.578 7.578 7.578 Å, 90.00 90.00 90.00°
Space group F-43m (No. 216)
Inequivalent atoms, fractional coordinates:
Li 0.000 0.000 0.000 x4
Pu 0.250 0.250 0.250 x4
Pd 0.125 0.125 0.625 x16

Ranked by calculated energy, most stable first: (three), (one), (two).

(one)
# LiPu2Pd2

An optimized crystal structure of LiPu2Pd2 (PBE-GGA, Alexandria via LeMat-Bulk).

Values from the calculation:
Total magnetic moment (μB/f.u.): 0.0
Theoretical density (g cm⁻³): 13.47

Cell: 10.822 5.317 6.195 Å, 90.00 101.67 90.00°
Space group C2/c (No. 15)
Inequivalent atoms, fractional coordinates:
Li 0.000 0.067 0.250 x4
Pu 0.078 0.439 0.649 x8
Pd 0.193 0.017 0.021 x8

(two)
# LiPu2Pd2

An optimized crystal structure of LiPu2Pd2 (PBE-GGA, Alexandria via LeMat-Bulk).

Values from the calculation:
Total magnetic moment (μB/f.u.): 11.9
Theoretical density (g cm⁻³): 11.14

Cell: 4.237 5.669 8.782 Å, 90.00 90.00 90.00°
Space group Immm (No. 71)
Inequivalent atoms, fractional coordinates:
Li 0.000 0.000 0.000 x2
Pu 0.000 0.500 0.199 x4
Pd 0.000 0.242 0.500 x4

Ranked by calculated energy, most stable first: (two), (one).

(one)
# LiPu2Pd3

An optimized crystal structure of LiPu2Pd3 (PBE-GGA, Alexandria via LeMat-Bulk).

Values from the calculation:
Total magnetic moment (μB/f.u.): 11.3
Theoretical density (g cm⁻³): 12.16

Cell: 5.6085 5.6085 12.2466 Å, 90.00 90.00 120.00°
Space group R-3m (No. 166, hexagonal axes)
Inequivalent atoms, fractional coordinates:
Li 0.0000 0.0000 0.0000 x3
Pu 0.0000 0.0000 0.3780 x6
Pd 0.0000 0.5000 0.5000 x9

(two)
# LiPu2Pd3

An optimized crystal structure of LiPu2Pd3 (PBE-GGA, Alexandria via LeMat-Bulk).

Values from the calculation:
Total magnetic moment (μB/f.u.): 10.8
Theoretical density (g cm⁻³): 11.77

Cell: 8.950 5.845 9.854 Å, 90.00 116.95 90.00°
Space group C2/c (No. 15)
Inequivalent atoms, fractional coordinates:
Li 0.000 0.124 0.250 x4
Pu 0.172 0.374 0.093 x8
Pd 0.000 0.377 0.750 x4
Pd 0.161 0.125 0.572 x8

Ranked by calculated energy, most stable first: (one), (two).